(1)
! PBE SrTa2Co, relaxed; values from VASP
! ΔE to the lowest computed polymorph = 0.2037 eV/atom
! magnetization = 0.56 μB/f.u.
! ΔH_f (0 K) = 562 meV per atom
&SYSTEM
  ibrav = 0, nat = 4, ntyp = 3
/
ATOMIC_SPECIES
Ta 180.95 Ta.upf
Co 58.93 Co.upf
Sr 87.62 Sr.upf
CELL_PARAMETERS angstrom
3.6500 0.0000 0.0000
0.0000 2.9313 0.1105
0.0000 2.2759 8.0118
ATOMIC_POSITIONS angstrom
Ta 0.0000 2.4492 3.3413
Ta 0.0000 3.0858 0.8302
Co 1.8250 1.3018 2.0306
Sr 1.8250 3.9054 6.0917

=====

(2)
! PBE SrTa2Co, relaxed; values from VASP
! ΔE to the lowest computed polymorph = 0.2056 eV/atom
! magnetization = 0.81 μB/f.u.
! ΔH_f (0 K) = 564 meV per atom
&SYSTEM
  ibrav = 0, nat = 4, ntyp = 3
/
ATOMIC_SPECIES
Sr 87.62 Sr.upf
Co 58.93 Co.upf
Ta 180.95 Ta.upf
CELL_PARAMETERS angstrom
-1.4863 -2.4897 0.4072
1.9974 -0.8684 1.9570
-4.9185 4.0514 6.8177
ATOMIC_POSITIONS angstrom
Sr -3.4333 1.3595 6.2954
Co -0.9741 -0.6662 2.8865
Ta -2.1063 1.7350 2.9196
Ta -0.3530 0.2907 0.4892

=====

(3)
! PBE SrTaCo2, relaxed; values from VASP
! ΔE to the lowest computed polymorph = 0.8492 eV/atom
! magnetization = 1.98 μB/f.u.
! ΔH_f (0 K) = 994 meV per atom
&SYSTEM
  ibrav = 0, nat = 4, ntyp = 3
/
ATOMIC_SPECIES
Ta 180.95 Ta.upf
Sr 87.62 Sr.upf
Co 58.93 Co.upf
CELL_PARAMETERS angstrom
4.5501 0.0000 0.0000
2.2751 3.9405 0.0000
2.2751 1.3135 3.7152
ATOMIC_POSITIONS angstrom
Ta 6.8252 3.9405 2.7864
Sr 4.5501 2.6270 1.8576
Co 0.0000 0.0000 0.0000
Co 2.2751 1.3135 0.9288

=====

(4)
! PBE SrTaCo2, relaxed; values from VASP
! ΔE to the lowest computed polymorph = 0.0000 eV/atom
! magnetization = 0.59 μB/f.u.
! ΔH_f (0 K) = 145 meV per atom
&SYSTEM
  ibrav = 0, nat = 4, ntyp = 3
/
ATOMIC_SPECIES
Ta 180.95 Ta.upf
Co 58.93 Co.upf
Sr 87.62 Sr.upf
CELL_PARAMETERS angstrom
-0.3862 -3.0269 0.7524
0.9791 0.6022 2.9252
-6.8440 1.3724 2.0082
ATOMIC_POSITIONS angstrom
Ta -4.8365 -0.1830 3.3450
Co -6.3754 1.2784 1.8707
Co -3.8906 0.7801 1.1416
Sr -1.4145 -0.8692 2.3409